A relaxed SrV2F crystal, computed with GGA+U.

Cell lengths 6.836, 6.836, 6.836 Å; angles 121.79, 121.79, 86.93 degrees
Fractional coordinates of all 8 atoms:
Sr 0.375 0.625 0.750
Sr 0.625 0.375 0.250
V 0.000 0.000 0.000
V 0.000 0.000 0.500
V 0.000 0.500 0.000
V 0.500 0.000 0.500
F 0.125 0.875 0.250
F 0.875 0.125 0.750

relative energy among the computed polymorphs: 0 meV/atom
space group: I4_1/amd, No. 141